No. 1
# Pr4Al3O10

A relaxed Pr4Al3O10 crystal (PBE-GGA, Alexandria).

abc: 14.1643 14.1643 14.1643
angles: 164.69 164.69 21.71
Fractional coordinates of all 17 atoms:
Pr (0.0672, 0.0672, 0.0000)
Pr (0.2022, 0.2022, 0.0000)
Pr (0.7978, 0.7978, 0.0000)
Pr (0.9328, 0.9328, 0.0000)
Al (0.3629, 0.3629, 0.0000)
Al (0.5000, 0.5000, 0.0000)
Al (0.6371, 0.6371, 0.0000)
O (0.0000, 0.5000, 0.5000)
O (0.1388, 0.6388, 0.5000)
O (0.2885, 0.2885, 0.0000)
O (0.3612, 0.8612, 0.5000)
O (0.4309, 0.4309, 0.0000)
O (0.5000, 0.0000, 0.5000)
O (0.5691, 0.5691, 0.0000)
O (0.6388, 0.1388, 0.5000)
O (0.7115, 0.7115, 0.0000)
O (0.8612, 0.3612, 0.5000)

Output
calculated volume	198	Å³/cell
formation energy (no corrections)	-3.134	eV per atom
DOS at the Fermi energy	0.125	states/eV per atom
total energy	-7.84	eV per atom
crystal system	tetragonal



No. 2
# PrAlO

A relaxed PrAlO crystal (PBE-GGA, Alexandria).

abc: 3.4516 3.4516 9.2956
angles: 90.00 90.00 90.00
Fractional coordinates of all 6 atoms:
Pr (0.2500, 0.2500, 0.1630)
Pr (0.7500, 0.7500, 0.8370)
Al (0.2500, 0.2500, 0.5659)
Al (0.7500, 0.7500, 0.4341)
O (0.2500, 0.2500, 0.8997)
O (0.7500, 0.7500, 0.1003)

Output
calculated volume	111	Å³/cell
formation energy (no corrections)	-1.753	eV per atom
DOS at the Fermi energy	0.254	states/eV per atom
total energy	-6.25	eV per atom
crystal system	tetragonal